# 1
# ZrSiOs2 | Alexandria | PBE-GGA | optimized geometry
data_ZrSiOs2
_chemical_formula_sum 'Zr3 Si3 Os6'
_cell_length_a 2.8571
_cell_length_b 2.8571
_cell_length_c 26.8871
_cell_angle_alpha 90.00
_cell_angle_beta 90.00
_cell_angle_gamma 120.00
_symmetry_space_group_name_H-M 'R 3 m'
_symmetry_Int_Tables_number 160
_symmetry_space_group_name_Hall 'R 3 -2"'
loop_
_atom_site_label
_atom_site_fract_x
_atom_site_fract_y
_atom_site_fract_z
_atom_site_occupancy
Zr1 0.0000 0.0000 0.0000 1
Si1 0.0000 0.0000 0.2422 1
Os1 0.0000 0.0000 0.5055 1
Os2 0.0000 0.0000 0.7597 1
# **Uncorrected formation energy**: 38.8 kJ/mol of formula units
# **Theoretical density**: 13.10 g/cm³
# **Total moment**: 0.00 μB/cell
# **Calculated total energy**: -9.007 eV per atom

=====

# 2
# ZrSi3Os | Alexandria | PBE-GGA | optimized geometry
data_ZrSi3Os
_chemical_formula_sum 'Zr1 Si3 Os1'
_cell_length_a 4.9060
_cell_length_b 4.9060
_cell_length_c 4.9060
_cell_angle_alpha 90.00
_cell_angle_beta 90.00
_cell_angle_gamma 90.00
_symmetry_space_group_name_H-M 'P m -3 m'
_symmetry_Int_Tables_number 221
_symmetry_space_group_name_Hall '-P 4 2 3'
loop_
_atom_site_label
_atom_site_fract_x
_atom_site_fract_y
_atom_site_fract_z
_atom_site_occupancy
Zr1 0.0000 0.0000 0.0000 1
Si1 0.0000 0.0000 0.5000 1
Os1 0.5000 0.5000 0.5000 1
# **Uncorrected formation energy**: 896.9 kJ/mol of formula units
# **Distance to the lowest polymorph of the same formula**: 1.230 eV per atom
# **Theoretical density**: 5.14 g/cm³
# **Total moment**: 2.61 μB/cell
# **Calculated total energy**: -5.350 eV per atom

=====

# 3
# Zr2SiOs2 | Alexandria | PBE-GGA | optimized geometry
data_Zr2SiOs2
_chemical_formula_sum 'Zr4 Si2 Os4'
_cell_length_a 4.4597
_cell_length_b 4.4597
_cell_length_c 10.6491
_cell_angle_alpha 90.00
_cell_angle_beta 90.00
_cell_angle_gamma 90.00
_symmetry_space_group_name_H-M 'I 4/m m m'
_symmetry_Int_Tables_number 139
_symmetry_space_group_name_Hall '-I 4 2'
loop_
_atom_site_label
_atom_site_fract_x
_atom_site_fract_y
_atom_site_fract_z
_atom_site_occupancy
Zr1 0.0000 0.5000 0.2500 1
Si1 0.0000 0.0000 0.0000 1
Os1 0.0000 0.0000 0.3874 1
# **Uncorrected formation energy**: 193.2 kJ/mol of formula units
# **Distance to the lowest polymorph of the same formula**: 0.776 eV per atom
# **Theoretical density**: 9.27 g/cm³
# **Total moment**: 0.00 μB/cell
# **Calculated total energy**: -8.595 eV per atom